# 1
# KTa2Se, relaxed, DFT PBE
data_KTa2Se
_chemical_formula_sum 'K2 Ta4 Se2'
_cell_length_a 4.046
_cell_length_b 4.046
_cell_length_c 11.004
_cell_angle_alpha 90.00
_cell_angle_beta 90.00
_cell_angle_gamma 90.00
_symmetry_space_group_name_H-M 'I 4/m m m'
_symmetry_Int_Tables_number 139
_symmetry_space_group_name_Hall '-I 4 2'
loop_
_atom_site_label
_atom_site_type_symbol
_atom_site_fract_x
_atom_site_fract_y
_atom_site_fract_z
_atom_site_occupancy
K1 K 0.000 0.000 0.000 1
Ta1 Ta 0.000 0.500 0.250 1
Se1 Se 0.000 0.000 0.500 1
# E_form (uncorrected)	1.00	eV per atom
# DFT total energy	-48.56	eV/cell

# 2
# MgOs, relaxed, DFT PBE
data_MgOs
_chemical_formula_sum 'Mg4 Os4'
_cell_length_a 2.913
_cell_length_b 4.602
_cell_length_c 9.619
_cell_angle_alpha 90.00
_cell_angle_beta 90.00
_cell_angle_gamma 90.00
_symmetry_space_group_name_H-M 'I m m a'
_symmetry_Int_Tables_number 74
_symmetry_space_group_name_Hall '-I 2b 2'
loop_
_atom_site_label
_atom_site_type_symbol
_atom_site_fract_x
_atom_site_fract_y
_atom_site_fract_z
_atom_site_occupancy
Mg1 Mg 0.000 0.250 0.107 1
Os1 Os 0.000 0.250 0.642 1
# energy of formation	0.48	eV/f.u.
# DFT total energy	-49.38	eV/cell

# 3
# PrCd2P2Pt7, relaxed, DFT PBE
data_PrCd2P2Pt7
_chemical_formula_sum 'Pr2 Cd4 P4 Pt14'
_cell_length_a 4.015
_cell_length_b 4.015
_cell_length_c 29.042
_cell_angle_alpha 90.00
_cell_angle_beta 90.00
_cell_angle_gamma 90.00
_symmetry_space_group_name_H-M 'I 4/m m m'
_symmetry_Int_Tables_number 139
_symmetry_space_group_name_Hall '-I 4 2'
loop_
_atom_site_label
_atom_site_type_symbol
_atom_site_fract_x
_atom_site_fract_y
_atom_site_fract_z
_atom_site_occupancy
Pr1 Pr 0.000 0.000 0.000 1
Cd1 Cd 0.000 0.000 0.203 1
P1 P 0.000 0.000 0.376 1
Pt1 Pt 0.000 0.000 0.300 1
Pt2 Pt 0.000 0.000 0.500 1
Pt3 Pt 0.000 0.500 0.080 1
# energy of formation	-6.02	eV/f.u.
# DFT total energy	-131.48	eV/cell

# 4
# NdEr3Pb, relaxed, DFT PBE
data_NdEr3Pb
_chemical_formula_sum 'Nd4 Er12 Pb4'
_cell_length_a 7.953
_cell_length_b 9.214
_cell_length_c 10.292
_cell_angle_alpha 90.00
_cell_angle_beta 125.05
_cell_angle_gamma 90.00
_symmetry_space_group_name_H-M 'P 1 21/c 1'
_symmetry_Int_Tables_number 14
loop_
_symmetry_equiv_pos_as_xyz
'x,y,z'
'-x,-y,-z'
'-x,y+1/2,-z+1/2'
'x,-y+1/2,z+1/2'
loop_
_atom_site_label
_atom_site_type_symbol
_atom_site_fract_x
_atom_site_fract_y
_atom_site_fract_z
_atom_site_occupancy
Nd1 Nd 0.220 0.080 0.330 1
Er1 Er 0.097 0.676 0.011 1
Er2 Er 0.202 0.079 0.974 1
Er3 Er 0.411 0.117 0.741 1
Pb1 Pb 0.349 0.712 0.383 1
# energy of formation	-0.78	eV/f.u.
# DFT total energy	-91.78	eV/cell

# 5
# Sm3Ag4Ge4, relaxed, DFT PBE
data_Sm3Ag4Ge4
_chemical_formula_sum 'Sm6 Ag8 Ge8'
_cell_length_a 4.407
_cell_length_b 7.179
_cell_length_c 14.702
_cell_angle_alpha 90.00
_cell_angle_beta 90.00
_cell_angle_gamma 90.00
_symmetry_space_group_name_H-M 'I m m m'
_symmetry_Int_Tables_number 71
_symmetry_space_group_name_Hall '-I 2 2'
loop_
_atom_site_label
_atom_site_type_symbol
_atom_site_fract_x
_atom_site_fract_y
_atom_site_fract_z
_atom_site_occupancy
Sm1 Sm 0.000 0.000 0.000 1
Sm2 Sm 0.000 0.500 0.127 1
Ag1 Ag 0.000 0.304 0.331 1
Ge1 Ge 0.000 0.000 0.217 1
Ge2 Ge 0.000 0.182 0.500 1
# energy of formation	-5.98	eV/f.u.
# DFT total energy	-100.03	eV/cell

# 6
# Tb2InPt, relaxed, DFT PBE
data_Tb2InPt
_chemical_formula_sum 'Tb8 In4 Pt4'
_cell_length_a 7.285
_cell_length_b 7.285
_cell_length_c 7.285
_cell_angle_alpha 90.00
_cell_angle_beta 90.00
_cell_angle_gamma 90.00
_symmetry_space_group_name_H-M 'F m -3 m'
_symmetry_Int_Tables_number 225
_symmetry_space_group_name_Hall '-F 4 2 3'
loop_
_atom_site_label
_atom_site_type_symbol
_atom_site_fract_x
_atom_site_fract_y
_atom_site_fract_z
_atom_site_occupancy
Tb1 Tb 0.250 0.250 0.250 1
In1 In 0.000 0.000 0.000 1
Pt1 Pt 0.000 0.000 0.500 1
# energy of formation	-2.96	eV/f.u.
# offset from the most stable computed form	106.3	meV/atom
# DFT total energy	-84.00	eV/cell